Computed, not measured: KLiTl2 at its PBEsol-relaxed geometry at the SCAN level of DFT.

Computed properties:
* ΔE to the lowest computed polymorph: 96 meV per atom
* E_form: -0.17 eV/atom
* energy: -39.031 eV/atom

CIF file:
```
data_KLiTl2
_chemical_formula_sum 'K1 Li1 Tl2'
_cell_length_a 3.8111
_cell_length_b 3.8111
_cell_length_c 8.2512
_cell_angle_alpha 90.00
_cell_angle_beta 90.00
_cell_angle_gamma 90.00
_symmetry_space_group_name_H-M 'P 4 m m'
_symmetry_Int_Tables_number 99
_symmetry_space_group_name_Hall 'P 4 -2'
loop_
_atom_site_label
_atom_site_type_symbol
_atom_site_fract_x
_atom_site_fract_y
_atom_site_fract_z
K1 K 0.0000 0.0000 0.0000
Li1 Li 0.5000 0.5000 0.3478
Tl1 Tl 0.0000 0.0000 0.4798
Tl2 Tl 0.5000 0.5000 0.7100
```